First-principles (GGA-PBE) data for a relaxed La4CrCo crystal, as listed in the Alexandria database.

Cell: 6.3422 6.3422 6.3422 Å, 60.00 60.00 60.00°
Fractional positions:
La 0.3753 0.8740 0.3753
La 0.3753 0.3753 0.3753
La 0.8740 0.3753 0.3753
La 0.3753 0.3753 0.8740
Co 0.7500 0.7500 0.7500
Cr 0.0000 0.0000 0.0000

Values from the calculation:
As for the space group: F-43m, No. 216. Its crystal system is cubic. Its calculated formation energy is 967 meV/atom. For the total energy, the calculation gives -5.1063 eV/atom.


First-principles (GGA-PBE) data for a relaxed LaCr4Co crystal, as listed in the Alexandria database.

Cell: 5.0023 5.0023 5.0023 Å, 60.00 60.00 60.00°
Fractional positions:
Cr 0.8789 0.3737 0.3737
Cr 0.3737 0.3737 0.8789
Cr 0.3737 0.3737 0.3737
Cr 0.3737 0.8789 0.3737
Co 0.0000 0.0000 0.0000
La 0.7500 0.7500 0.7500

Values from the calculation:
As for the space group: F-43m, No. 216. Its crystal system is cubic. Its calculated formation energy is 653 meV/atom. For the total energy, the calculation gives -7.7679 eV/atom.